Entry 1:
This record from Alexandria describes a relaxed structure of Cs3Bi. The functional is PBE.

Geometry as extended XYZ:
```
4
Lattice="4.6710 0.0000 0.0000 0.0000 6.2426 0.0000 0.0000 0.0000 9.9544" Properties=species:S:1:pos:R:3 pbc="T T T"
Cs 0.0000 0.0000 0.0000
Cs 0.0000 3.1213 2.5319
Cs 2.3355 3.1213 6.0155
Bi 2.3355 0.0000 3.3803
```

VASP energy   -1.724 eV/atom
Formation energy   -10.9 kJ per mole of atoms
Total magnetic moment   0.3 μB per formula unit

***

Entry 2:
This record from Alexandria describes a relaxed structure of CsBi. The functional is PBE.

Geometry as extended XYZ:
```
8
Lattice="-5.7759 5.7759 5.7759 5.7759 -5.7759 5.7759 5.7759 5.7759 -5.7759" Properties=species:S:1:pos:R:3 pbc="T T T"
Cs 3.3869 3.3869 -3.3869
Cs 3.3869 -3.3869 3.3869
Cs 2.3890 2.3890 2.3890
Cs -3.3869 3.3869 3.3869
Bi 1.1413 1.1413 -1.1413
Bi 1.1413 -1.1413 1.1413
Bi -1.1413 1.1413 1.1413
Bi 4.6347 4.6347 4.6347
```

VASP energy   -2.367 eV/atom
Formation energy   0.1 kJ per mole of atoms
Total magnetic moment   0.7 μB per formula unit

***

Entry 3:
This record from Alexandria describes a relaxed structure of CsBi. The functional is PBE.

Geometry as extended XYZ:
```
16
Lattice="7.8616 0.0000 0.0000 0.0000 7.8782 0.0000 0.0000 0.0000 13.8470" Properties=species:S:1:pos:R:3 pbc="T T T"
Cs 0.7021 0.7656 1.1353
Cs 1.3595 2.8255 9.7695
Cs 2.5714 5.0527 2.8460
Cs 3.2287 7.1126 8.0588
Cs 4.6329 3.1735 12.7117
Cs 5.2903 1.1136 4.0774
Cs 6.5022 6.7646 11.0009
Cs 7.1595 4.7047 5.7882
Bi 0.6674 4.3878 13.3388
Bi 1.3714 1.3378 5.3019
Bi 2.5595 6.5404 12.2254
Bi 3.2634 3.4904 6.4153
Bi 4.5982 7.4295 0.5081
Bi 5.3022 2.6013 8.5450
Bi 6.4903 5.2769 1.6215
Bi 7.1943 0.4487 7.4316
```

VASP energy   -2.761 eV/atom
Formation energy   -38.0 kJ per mole of atoms
Total magnetic moment   0.0 μB per formula unit

***

Entry 4:
This record from Alexandria describes a relaxed structure of CsBi. The functional is PBE.

Geometry as extended XYZ:
```
32
Lattice="15.7940 0.0000 0.0000 0.0000 7.8365 0.0000 -5.7211 0.0000 13.6325" Properties=species:S:1:pos:R:3 pbc="T T T"
Cs -0.9487 1.4807 6.3672
Cs -3.8092 2.4375 13.1834
Cs -1.4825 4.5508 9.3080
Cs 1.3780 7.2040 2.4917
Cs 5.4422 5.0957 0.5986
Cs 2.5817 6.6591 7.4148
Cs 0.9583 0.8396 11.5462
Cs 3.8188 3.0787 4.7300
Cs 6.2541 4.7579 8.9025
Cs 9.1146 6.9969 2.0863
Cs 7.4912 1.1774 6.2177
Cs 4.6307 2.7408 13.0339
Cs 8.6949 0.6325 11.1407
Cs 11.5554 3.2858 4.3245
Cs 13.8822 5.3990 0.4490
Cs 11.0216 6.3558 7.2653
Bi -0.9896 5.4441 5.0832
Bi -3.8501 6.3107 11.8995
Bi -2.6951 0.5507 9.9227
Bi 0.1654 3.3676 3.1064
Bi 5.6455 1.1074 1.8889
Bi 2.7850 2.8109 8.7051
Bi 2.1410 4.8555 10.9161
Bi 5.0015 6.8993 4.0999
Bi 5.0714 0.9372 9.5326
Bi 7.9319 2.9811 2.7164
Bi 7.2879 5.0257 4.9274
Bi 4.4274 6.7292 11.7436
Bi 9.9075 4.4689 10.5260
Bi 12.7681 7.2859 3.7098
Bi 13.9230 1.5258 1.7330
Bi 11.0625 2.3925 8.5493
```

VASP energy   -2.759 eV/atom
Formation energy   -37.8 kJ per mole of atoms
Total magnetic moment   0.0 μB per formula unit

***

Entry 5:
This record from Alexandria describes a relaxed structure of CsCuBi3. The functional is PBE.

Geometry as extended XYZ:
```
5
Lattice="6.3574 0.0000 0.0000 0.0000 6.3574 0.0000 0.0000 0.0000 6.3574" Properties=species:S:1:pos:R:3 pbc="T T T"
Cs 0.0000 0.0000 0.0000
Cu 3.1787 3.1787 3.1787
Bi 0.0000 0.0000 3.1787
Bi 0.0000 3.1787 0.0000
Bi 3.1787 0.0000 0.0000
```

VASP energy   -1.566 eV/atom
Formation energy   169.1 kJ per mole of atoms
Total magnetic moment   0.0 μB per formula unit

***

Entry 6:
This record from Alexandria describes a relaxed structure of Cs5CuBi2. The functional is PBE.

Geometry as extended XYZ:
```
8
Lattice="3.3211 1.9175 10.2060 -3.3211 1.9175 10.2060 0.0000 -3.8349 10.2060" Properties=species:S:1:pos:R:3 pbc="T T T"
Cs 0.0000 0.0000 0.0000
Cs 0.0000 0.0000 4.2766
Cs 0.0000 0.0000 8.6910
Cs 0.0000 0.0000 21.9269
Cs 0.0000 0.0000 26.3413
Cu 0.0000 0.0000 15.3089
Bi 0.0000 0.0000 12.6955
Bi 0.0000 0.0000 17.9224
```

VASP energy   -2.302 eV/atom
Formation energy   -27.6 kJ per mole of atoms
Total magnetic moment   0.0 μB per formula unit

***

Entry 7:
This record from Alexandria describes a relaxed structure of CsCu2Bi4. The functional is PBE.

Geometry as extended XYZ:
```
7
Lattice="-3.0435 3.0435 7.4057 3.0435 -3.0435 7.4057 3.0435 3.0435 -7.4057" Properties=species:S:1:pos:R:3 pbc="T T T"
Cs 0.0000 0.0000 0.0000
Cu 0.0000 0.0000 6.2426
Cu 0.0000 0.0000 8.5688
Bi 3.0435 0.0000 0.0000
Bi 0.0000 0.0000 3.7308
Bi 0.0000 3.0435 0.0000
Bi 0.0000 0.0000 11.0806
```

VASP energy   -2.534 eV/atom
Formation energy   94.2 kJ per mole of atoms
Total magnetic moment   0.0 μB per formula unit

***

Entry 8:
This record from Alexandria describes a relaxed structure of CsCuBi. The functional is PBE.

Geometry as extended XYZ:
```
6
Lattice="4.8626 0.0000 0.0000 0.0000 4.8626 0.0000 0.0000 0.0000 9.1012" Properties=species:S:1:pos:R:3 pbc="T T T"
Cs 1.2156 1.2156 1.5748
Cs 3.6469 3.6469 7.5264
Cu 1.2156 3.6469 4.5506
Cu 3.6469 1.2156 4.5506
Bi 1.2156 1.2156 5.8649
Bi 3.6469 3.6469 3.2363
```

VASP energy   -2.995 eV/atom
Formation energy   -4.9 kJ per mole of atoms
Total magnetic moment   0.0 μB per formula unit

***

Entry 9:
This record from Alexandria describes a relaxed structure of CsCu2Bi2. The functional is PBE.

Geometry as extended XYZ:
```
10
Lattice="9.2155 0.0000 0.0000 0.0000 9.2155 0.0000 0.0000 0.0000 3.4264" Properties=species:S:1:pos:R:3 pbc="T T T"
Cs 0.0000 0.0000 0.0000
Cs 4.6077 4.6077 0.0000
Cu 0.8919 3.7159 0.0000
Cu 3.7159 8.3236 0.0000
Cu 5.4996 0.8919 0.0000
Cu 8.3236 5.4996 0.0000
Bi 1.3440 5.9517 1.7132
Bi 3.2638 1.3440 1.7132
Bi 5.9517 7.8715 1.7132
Bi 7.8715 3.2638 1.7132
```

VASP energy   -3.167 eV/atom
Formation energy   18.8 kJ per mole of atoms
Total magnetic moment   0.0 μB per formula unit

***

Entry 10:
This record from Alexandria describes a relaxed structure of Cs2Cu2Bi. The functional is PBE.

Geometry as extended XYZ:
```
5
Lattice="-1.8010 1.8010 12.1714 1.8010 -1.8010 12.1714 1.8010 1.8010 -12.1714" Properties=species:S:1:pos:R:3 pbc="T T T"
Cs 0.0000 0.0000 2.9870
Cs 0.0000 0.0000 21.3558
Cu 1.8010 0.0000 6.0857
Cu 0.0000 1.8010 6.0857
Bi 0.0000 0.0000 12.1714
```

VASP energy   -2.589 eV/atom
Formation energy   16.1 kJ per mole of atoms
Total magnetic moment   0.0 μB per formula unit

***

Entry 11:
This record from Alexandria describes a relaxed structure of Cs3CuBi. The functional is PBE.

Geometry as extended XYZ:
```
5
Lattice="6.6152 0.0000 0.0000 0.0000 6.6152 0.0000 0.0000 0.0000 6.6152" Properties=species:S:1:pos:R:3 pbc="T T T"
Cs 0.0000 0.0000 3.3076
Cs 0.0000 3.3076 0.0000
Cs 3.3076 0.0000 0.0000
Cu 0.0000 0.0000 0.0000
Bi 3.3076 3.3076 3.3076
```

VASP energy   -1.947 eV/atom
Formation energy   15.5 kJ per mole of atoms
Total magnetic moment   1.0 μB per formula unit

***

Entry 12:
This record from Alexandria describes a relaxed structure of CsCuBi. The functional is PBE.

Geometry as extended XYZ:
```
3
Lattice="4.5825 0.0000 0.0000 -2.2913 3.9686 0.0000 0.0000 0.0000 6.2004" Properties=species:S:1:pos:R:3 pbc="T T T"
Cs 0.0000 0.0000 0.0000
Cu 2.2913 1.3229 3.1002
Bi 0.0000 2.6457 3.1002
```

VASP energy   -2.986 eV/atom
Formation energy   -4.1 kJ per mole of atoms
Total magnetic moment   0.0 μB per formula unit

***

Entry 13:
This record from Alexandria describes a relaxed structure of CsCu3Bi. The functional is PBE.

Geometry as extended XYZ:
```
5
Lattice="5.2788 0.0000 0.0000 0.0000 5.2788 0.0000 0.0000 0.0000 5.2788" Properties=species:S:1:pos:R:3 pbc="T T T"
Cs 0.0000 0.0000 0.0000
Cu 0.0000 0.0000 2.6394
Cu 0.0000 2.6394 0.0000
Cu 2.6394 0.0000 0.0000
Bi 2.6394 2.6394 2.6394
```

VASP energy   -1.806 eV/atom
Formation energy   154.2 kJ per mole of atoms
Total magnetic moment   0.0 μB per formula unit

***

Entry 14:
This record from Alexandria describes a relaxed structure of CsCuBi3. The functional is PBE.

Geometry as extended XYZ:
```
5
Lattice="5.5321 0.0000 0.0000 0.0000 5.5321 0.0000 0.0000 0.0000 5.5321" Properties=species:S:1:pos:R:3 pbc="T T T"
Cs 0.0000 0.0000 0.0000
Cu 2.7661 2.7661 2.7661
Bi 0.0000 2.7661 2.7661
Bi 2.7661 0.0000 2.7661
Bi 2.7661 2.7661 0.0000
```

VASP energy   -3.193 eV/atom
Formation energy   12.1 kJ per mole of atoms
Total magnetic moment   0.0 μB per formula unit

***

Entry 15:
This record from Alexandria describes a relaxed structure of CsCuBi. The functional is PBE.

Geometry as extended XYZ:
```
6
Lattice="6.3088 -2.2951 0.0000 6.3088 2.2951 0.0000 -5.3548 0.0000 7.4704" Properties=species:S:1:pos:R:3 pbc="T T T"
Cs -1.0171 0.0000 2.6167
Cs 8.2798 0.0000 4.8537
Cu -0.2869 0.0000 7.2041
Cu 7.5497 0.0000 0.2663
Bi 2.4292 0.0000 1.0466
Bi 4.8336 0.0000 6.4238
```

VASP energy   -2.931 eV/atom
Formation energy   1.2 kJ per mole of atoms
Total magnetic moment   0.0 μB per formula unit

***

Entry 16:
This record from Alexandria describes a relaxed structure of Cs2Cu3BiF12. The functional is PBE.

Geometry as extended XYZ:
```
18
Lattice="3.7600 2.1709 6.2330 -3.7600 2.1709 6.2330 0.0000 -4.3417 6.2330" Properties=species:S:1:pos:R:3 pbc="T T T"
Cs 0.0000 0.0000 2.0528
Cs 0.0000 0.0000 16.6461
Cu -1.8800 -1.0854 6.2330
Cu -1.8800 1.0854 12.4660
Cu 0.0000 2.1709 6.2330
Bi 0.0000 0.0000 9.3495
F -1.7385 -1.0037 8.2474
F 0.0000 -1.6622 6.1625
F -1.4395 0.8311 6.1625
F 0.0000 -2.0074 10.4515
F -1.7385 1.0037 10.4515
F -1.4395 -0.8311 12.5364
F 1.4395 0.8311 6.1625
F 1.7385 -1.0037 8.2475
F 0.0000 2.0074 8.2475
F 1.4395 -0.8311 12.5364
F 0.0000 1.6622 12.5364
F 1.7385 1.0037 10.4515
```

VASP energy   -4.285 eV/atom
Formation energy from raw total energies   -2044.8 meV per atom
Total magnetic moment   3.4 μB per formula unit

***

Entry 17:
This record from Alexandria describes a relaxed structure of CsCu2BiF8. The functional is PBE.

Geometry as extended XYZ:
```
12
Lattice="2.8712 1.6577 7.9661 -2.8712 1.6577 7.9661 0.0000 -3.3153 7.9661" Properties=species:S:1:pos:R:3 pbc="T T T"
Cs 0.0000 0.0000 0.0000
Cu 0.0000 0.0000 5.9299
Cu 0.0000 0.0000 17.9684
Bi 0.0000 0.0000 11.9492
F -1.8574 -0.0893 10.6449
F -0.8514 -1.6532 13.2534
F 0.0000 0.0000 7.7509
F 1.0060 -1.5639 10.6449
F -1.0060 1.5639 13.2534
F 0.0000 0.0000 16.1474
F 0.8514 1.6532 10.6449
F 1.8574 0.0893 13.2534
```

VASP energy   -4.259 eV/atom
Formation energy from raw total energies   -1934.3 meV per atom
Total magnetic moment   2.0 μB per formula unit

***

Entry 18:
This record from Alexandria describes a relaxed structure of CsHfCu2Bi. The functional is PBE.

Geometry as extended XYZ:
```
5
Lattice="5.0983 0.0000 0.0000 0.0000 5.0983 0.0000 0.0000 0.0000 6.0722" Properties=species:S:1:pos:R:3 pbc="T T T"
Cs 0.0000 0.0000 0.0000
Hf 0.0000 0.0000 3.0361
Cu 0.0000 2.5492 3.0361
Cu 2.5492 0.0000 3.0361
Bi 2.5492 2.5492 0.0000
```

VASP energy   -3.314 eV/atom
Formation energy   121.8 kJ per mole of atoms
Total magnetic moment   0.0 μB per formula unit

***

Entry 19:
This record from Alexandria describes a relaxed structure of CsCuHg2Bi. The functional is PBE.

Geometry as extended XYZ:
```
5
Lattice="5.4877 0.0000 0.0000 0.0000 5.4877 0.0000 0.0000 0.0000 5.4017" Properties=species:S:1:pos:R:3 pbc="T T T"
Cs 0.0000 0.0000 0.0000
Cu 2.7439 2.7439 2.7008
Hg 0.0000 2.7439 2.7008
Hg 2.7439 0.0000 2.7008
Bi 2.7439 2.7439 0.0000
```

VASP energy   -1.890 eV/atom
Formation energy   -0.3 kJ per mole of atoms
Total magnetic moment   0.0 μB per formula unit

***

Entry 20:
This record from Alexandria describes a relaxed structure of CsCu2HgBi. The functional is PBE.

Geometry as extended XYZ:
```
5
Lattice="5.1414 0.0000 0.0000 0.0000 5.1414 0.0000 0.0000 0.0000 6.3621" Properties=species:S:1:pos:R:3 pbc="T T T"
Cs 0.0000 0.0000 0.0000
Cu 0.0000 2.5707 3.1810
Cu 2.5707 0.0000 3.1810
Hg 0.0000 0.0000 3.1810
Bi 2.5707 2.5707 0.0000
```

VASP energy   -1.925 eV/atom
Formation energy   69.6 kJ per mole of atoms
Total magnetic moment   0.0 μB per formula unit

***

Entry 21:
This record from Alexandria describes a relaxed structure of Cs2Cu2BiI6. The functional is PBE.

Geometry as extended XYZ:
```
11
Lattice="7.7564 -4.1749 0.0000 7.7564 4.1749 0.0000 -3.2347 0.0000 7.6319" Properties=species:S:1:pos:R:3 pbc="T T T"
Cs 2.7557 0.0000 1.6283
Cs 9.5224 0.0000 6.0035
Cu 4.4346 0.0000 6.1313
Cu 7.8436 0.0000 1.5006
Bi -1.6174 0.0000 3.8159
I 6.2804 2.0536 1.5402
I 2.0097 0.0000 5.4763
I 5.9978 2.0536 6.0917
I 6.2804 -2.0536 1.5402
I 10.2685 0.0000 2.1556
I 5.9978 -2.0536 6.0917
```

VASP energy   -2.753 eV/atom
Formation energy from raw total energies   -654.6 meV per atom
Total magnetic moment   1.0 μB per formula unit

***

Entry 22:
This record from Alexandria describes a relaxed structure of Cs3Cu2BiI8. The functional is PBE.

Geometry as extended XYZ:
```
14
Lattice="8.4995 0.0000 0.0000 -4.2498 7.3608 0.0000 0.0000 0.0000 10.6517" Properties=species:S:1:pos:R:3 pbc="T T T"
Cs 0.0000 0.0000 0.0000
Cs 0.0000 4.9072 6.7545
Cs 4.2498 2.4536 3.8973
Cu 0.0000 4.9072 2.3253
Cu 4.2498 2.4536 8.3264
Bi 0.0000 0.0000 5.3259
I 0.0000 2.4649 3.3972
I -2.1151 6.1284 3.3972
I 0.0000 4.9072 10.4938
I 2.1346 1.2324 7.2545
I 2.1151 6.1284 3.3972
I 4.2498 2.4536 0.1579
I 6.3649 1.2324 7.2545
I 4.2498 4.8959 7.2545
```

VASP energy   -2.746 eV/atom
Formation energy from raw total energies   -814.9 meV per atom
Total magnetic moment   0.0 μB per formula unit

***

Entry 23:
This record from Alexandria describes a relaxed structure of CsCu2BiI6. The functional is PBE.

Geometry as extended XYZ:
```
20
Lattice="7.1017 -7.5176 0.0000 7.1017 7.5176 0.0000 -0.7262 0.0000 7.8736" Properties=species:S:1:pos:R:3 pbc="T T T"
Cs 6.5571 6.2534 5.9052
Cs 6.9202 -6.2534 1.9684
Cu 4.1469 1.1580 5.5718
Cu 4.5100 -1.1580 1.6350
Cu 8.9672 1.1580 6.2387
Cu 9.3303 -1.1580 2.3018
Bi 6.9202 3.2052 1.9684
Bi 6.5571 -3.2052 5.9052
I 1.4698 1.9610 5.2806
I 4.7910 3.1640 7.0870
I 1.8329 -1.9610 1.3437
I 4.7500 1.0623 3.0217
I 8.3232 3.1640 4.7234
I 4.3869 -1.0623 6.9585
I 9.0904 1.0623 0.9151
I 5.1541 -3.1640 3.1502
I 8.7273 -1.0623 4.8519
I 11.6443 1.9610 6.5299
I 8.6863 -3.1640 0.7866
I 12.0074 -1.9610 2.5931
```

VASP energy   -2.718 eV/atom
Formation energy from raw total energies   -495.3 meV per atom
Total magnetic moment   0.0 μB per formula unit